(1)
## PmY2Ga2 (PBE-GGA)

Data for crystalline PmY2Ga2 at its relaxed geometry.

Unit cell a=3.7852 b=5.8605 c=6.5619 alpha=102.16 beta=106.76 gamma=90.00
Positions (direct):
Pm 0.0000 0.0000 0.0000
Y 0.3617 0.4299 0.7234
Y 0.6383 0.5701 0.2766
Ga 0.7063 0.1117 0.4125
Ga 0.2937 0.8883 0.5875

ΔE to the lowest computed polymorph: 99 meV per atom
ΔE_f: -406 meV per atom
Space group: C2/m
Crystal system: monoclinic


(2)
## PuNpGa6 (PBE-GGA)

Data for crystalline PuNpGa6 at its relaxed geometry.

Unit cell a=4.6798 b=6.1641 c=6.1641 alpha=120.00 beta=90.00 gamma=90.00
Last column: magnetic moment on the atom in μB.
Positions (direct):
Pu 0.5000 0.4166 0.5834  -5.24
Np 0.0000 0.0833 0.9167  3.87
Ga 0.0000 0.0587 0.4044  -0.01
Ga 0.0000 0.5956 0.9413  -0.01
Ga 0.0000 0.5956 0.4044  -0.01
Ga 0.5000 0.4397 0.0949  0.02
Ga 0.5000 0.9051 0.5603  0.02
Ga 0.5000 0.9051 0.0949  0.02

ΔE_f: -298 meV per atom
Space group: P-6m2
Crystal system: hexagonal


(3)
## LaSi3 (PBE-GGA)

Data for crystalline LaSi3 at its relaxed geometry.

Unit cell a=4.6121 b=4.6121 c=5.3551 alpha=73.48 beta=73.48 gamma=48.26
Positions (direct):
La 0.0000 0.0000 0.0000
Si 0.5000 0.5000 0.5000
Si 0.7782 0.7782 0.6323
Si 0.2218 0.2218 0.3677

Space group: C2/m
Crystal system: monoclinic
Energy relative to the elements, uncorrected: -1.38 eV per formula unit


(4)
## Pu4Tl3Te8 (PBE-GGA)

Data for crystalline Pu4Tl3Te8 at its relaxed geometry.

Unit cell a=8.9688 b=9.1272 c=9.1272 alpha=90.08 beta=119.14 gamma=119.14
Last column: magnetic moment on the atom in μB.
Positions (direct):
Pu 0.5000 0.0000 0.0000  -5.11
Pu 0.0000 0.5000 0.0000  -5.35
Pu 0.0000 0.0000 0.0000  -5.08
Pu 0.0000 0.0000 0.5000  -5.35
Tl 0.5000 0.5000 0.0000  0.03
Tl 0.5000 0.0000 0.5000  0.03
Tl 0.5000 0.5000 0.5000  0.03
Te 0.4712 0.2223 0.2223  0.17
Te 0.0000 0.7591 0.2409  0.14
Te 0.9794 0.2341 0.2341  0.13
Te 0.5000 0.7615 0.2385  0.12
Te 0.5000 0.2385 0.7615  0.12
Te 0.0206 0.7659 0.7659  0.13
Te 0.0000 0.2409 0.7591  0.14
Te 0.5288 0.7777 0.7777  0.17

Space group: C2/m
Crystal system: monoclinic
Energy relative to the elements, uncorrected: -10.62 eV per formula unit


(5)
## LaErMgHg (PBE-GGA)

Data for crystalline LaErMgHg at its relaxed geometry.

Unit cell a=5.4163 b=5.4163 c=5.4163 alpha=60.00 beta=60.00 gamma=60.00
Positions (direct):
Mg 0.0000 0.0000 0.0000
La 0.7500 0.7500 0.7500
Hg 0.5000 0.5000 0.5000
Er 0.2500 0.2500 0.2500

ΔE to the lowest computed polymorph: 27 meV per atom
ΔE_f: -256 meV per atom
Space group: F-43m
Crystal system: cubic


(6)
## Ca7Zn2Ga2 (PBE-GGA)

Data for crystalline Ca7Zn2Ga2 at its relaxed geometry.

Unit cell a=7.0002 b=7.7237 c=7.0002 alpha=90.00 beta=112.54 gamma=90.00
Positions (direct):
Ca 0.9998 0.2803 0.5003
Ca 0.5003 0.7197 0.9998
Ca 0.0002 0.7197 0.4997
Ca 0.4997 0.2803 0.0002
Ca 0.0000 0.0000 0.0000
Ca 0.5002 0.7391 0.4998
Ca 0.4998 0.2609 0.5002
Zn 0.7016 0.0000 0.2984
Zn 0.2984 0.0000 0.7016
Ga 0.8381 0.5000 0.8381
Ga 0.1619 0.5000 0.1619

ΔE_f: -100 meV per atom
Space group: Cmmm
Crystal system: orthorhombic


(7)
## TcBrOF2 (PBE-GGA)

Data for crystalline TcBrOF2 at its relaxed geometry.

Unit cell a=4.2647 b=4.2647 c=3.7923 alpha=90.00 beta=90.00 gamma=90.00
Last column: magnetic moment on the atom in μB.
Positions (direct):
O 0.0000 0.0000 0.5000  -0.07
Tc 0.0000 0.0000 0.0000  0.93
Br 0.5000 0.5000 0.5000  -0.52
F 0.0000 0.5000 0.0000  0.00
F 0.5000 0.0000 0.0000  0.00

ΔE to the lowest computed polymorph: 0 meV per atom
Space group: P4/mmm
Crystal system: tetragonal
Energy relative to the elements, uncorrected: -4.36 eV per formula unit


(8)
## Al3AgPb (PBE-GGA)

Data for crystalline Al3AgPb at its relaxed geometry.

Unit cell a=4.9629 b=4.9629 c=4.9629 alpha=90.00 beta=90.00 gamma=90.00
Positions (direct):
Pb 0.5000 0.5000 0.5000
Al 0.0000 0.5000 0.0000
Al 0.0000 0.0000 0.5000
Al 0.5000 0.0000 0.0000
Ag 0.0000 0.0000 0.0000

ΔE to the lowest computed polymorph: 0 meV per atom
ΔE_f: 444 meV per atom
Space group: Pm-3m
Crystal system: cubic